No. 1
VASP calculation (PBE) on Dy6SiS4 after structural relaxation.

Output
The uncorrected formation energy comes out at -1709.6 kJ/mol of formula units. The value obtained for the density of states at the Fermi level is 30.1 states/eV/cell. The value obtained for the final energy is -6.11 eV per atom.

abc: 3.9413 12.7495 19.7828
angles: 90.00 90.00 90.00
Space group Cmcm (No. 63)
Asymmetric unit:
Dy 0.0000 0.0000 0.0000
Dy 0.0000 0.1710 0.2500
Dy 0.0000 0.2731 0.5869
Dy 0.0000 0.4483 0.1654
Si 0.0000 0.1665 0.7500
S 0.0000 0.0888 0.1247
S 0.0000 0.3616 0.0397

***

No. 2
VASP calculation (PBE) on Dy5SiS4 after structural relaxation.

Output
The uncorrected formation energy comes out at -1732.2 kJ/mol of formula units. The value obtained for the density of states at the Fermi level is 8.4 states/eV/cell. The value obtained for the final energy is -6.29 eV per atom.

abc: 8.8623 8.8623 5.5795
angles: 90.00 90.00 90.00
Space group I4/m (No. 87)
Asymmetric unit:
Dy 0.0000 0.0000 0.0000
Dy 0.0989 0.7021 0.5000
Si 0.0000 0.0000 0.5000
S 0.1003 0.6983 0.0000

***

No. 3
VASP calculation (PBE) on Dy4Si3S12 after structural relaxation.

Output
The uncorrected formation energy comes out at -2588.7 kJ/mol of formula units. The value obtained for the density of states at the Fermi level is 0.0 states/eV/cell. The value obtained for the final energy is -5.84 eV per atom.

abc: 9.9381 11.1095 17.1810
angles: 90.00 110.51 90.00
Space group P2_1/c (No. 14)
Asymmetric unit:
Dy 0.0174 0.0189 0.1256
Dy 0.1088 0.6281 0.1354
Dy 0.3138 0.6494 0.9409
Dy 0.4702 0.2371 0.2907
Si 0.0255 0.2137 0.7330
Si 0.2559 0.6203 0.5593
Si 0.4009 0.0484 0.6194
S 0.0642 0.5412 0.8139
S 0.0950 0.7421 0.4865
S 0.1027 0.2100 0.8642
S 0.1568 0.6667 0.3139
S 0.1827 0.0547 0.0258
S 0.1896 0.2210 0.1920
S 0.1949 0.0205 0.5272
S 0.2661 0.6520 0.6844
S 0.3835 0.5279 0.2305
S 0.4447 0.0651 0.4070
S 0.4566 0.6598 0.5514
S 0.4796 0.2254 0.6290